[1]
VASP calculation (PBE) on crystalline TlCo4Te at its relaxed geometry.

Unit cell a=7.1807 b=7.1807 c=7.1807 alpha=90.00 beta=90.00 gamma=90.00
Space group F-43m (No. 216)
Asymmetric unit:
Tl 0.0000 0.0000 0.0000
Co 0.1249 0.1249 0.6249
Te 0.2500 0.2500 0.2500

Properties
- Formation energy without anion corrections: 44.4 kJ per mole of atoms


[2]
VASP calculation (PBE) on crystalline AgPd2Rh at its relaxed geometry.

Unit cell a=2.8053 b=2.8053 c=7.9925 alpha=90.00 beta=90.00 gamma=90.00
Space group P4/mmm (No. 123)
Asymmetric unit:
Ag 0.0000 0.0000 0.0000
Pd 0.5000 0.5000 0.2619
Rh 0.0000 0.0000 0.5000

Properties
- Offset from the most stable computed form: 2 meV/atom
- Energy of formation from the pure elements: 0.06 eV per atom


[3]
VASP calculation (PBE) on crystalline LaTl3P at its relaxed geometry.

Unit cell a=6.0989 b=6.0989 c=6.0989 alpha=90.00 beta=90.00 gamma=90.00
Space group Pm-3m (No. 221)
Asymmetric unit:
La 0.0000 0.0000 0.0000
Tl 0.0000 0.0000 0.5000
P 0.5000 0.5000 0.5000

Properties
- Offset from the most stable computed form: 765 meV/atom
- Energy of formation from the pure elements: 1.00 eV per atom


[4]
VASP calculation (PBE) on crystalline SrNi2Mo at its relaxed geometry.

Unit cell a=6.5589 b=6.5589 c=6.5589 alpha=90.00 beta=90.00 gamma=90.00
Space group Fm-3m (No. 225)
Asymmetric unit:
Sr 0.0000 0.0000 0.0000
Ni 0.2500 0.2500 0.2500
Mo 0.0000 0.0000 0.5000

Properties
- Offset from the most stable computed form: 550 meV/atom
- Energy of formation from the pure elements: 0.71 eV per atom


| no. | E (Ry/atom) |
| --- | --- |
| 1 | -0.3818 |
| 2 | -0.3739 |
| 3 | -0.1826 |
| 4 | -0.3899 |